1.
The following is a GGA-PBEsol calculation of a relaxed SnPS2O crystal, from the Alexandria database.

```
SnPS2O
1.0
4.082 0.000 0.000
0.000 4.418 0.000
0.000 0.000 4.418
P S Sn O
1 2 1 1
Direct
0.500 0.000 0.000 P
0.000 0.000 0.500 S
0.000 0.500 0.000 S
0.500 0.500 0.500 Sn
0.000 0.000 0.000 O
```

Summary:
Total magnetic moment in μB/cell: 0.00
Density of states at the Fermi level in states/eV per cell: 4.19
Formation energy (no corrections) in eV per atom: 0.36
Density in Mg/m³: 4.79

---

2.
The following is a GGA-PBEsol calculation of a relaxed Cd3Ag2 crystal, from the Alexandria database.

```
Cd3Ag2
1.0
-1.855 -0.572 -2.382
-1.795 -2.922 2.100
-3.142 6.720 2.815
Ag Cd
2 3
Direct
0.799 0.799 0.597 Ag
0.201 0.201 0.403 Ag
0.609 0.609 0.217 Cd
0.000 0.000 0.000 Cd
0.391 0.391 0.783 Cd
```

Summary:
Total magnetic moment in μB/cell: 0.00
ΔE_f in eV/atom: -0.0331
Excess energy over the best structure of this formula in the dataset in meV/atom: 24
Density of states at the Fermi level in states/eV per cell: 1.47
Density in Mg/m³: 9.88

---

3.
The following is a GGA-PBEsol calculation of a relaxed BeAsS3 crystal, from the Alexandria database.

```
BeAsS3
1.0
-3.423 1.580 -1.992
1.111 -2.077 -3.554
-2.287 -3.372 1.255
Be As S
1 1 3
Direct
0.000 0.000 0.000 Be
0.500 0.500 0.500 As
0.000 0.500 0.000 S
0.000 0.000 0.500 S
0.500 0.000 0.000 S
```

Summary:
Total magnetic moment in μB/cell: 0.00
Density of states at the Fermi level in states/eV per cell: 2.36
Formation energy (no corrections) in eV per atom: 0.28
Density in Mg/m³: 3.86

---

4.
The following is a GGA-PBEsol calculation of a relaxed Re2AgIr crystal, from the Alexandria database.

```
Re2AgIr
1.0
4.388 0.000 0.000
2.194 3.800 0.000
2.194 1.267 3.583
Re Ir Ag
2 1 1
Direct
0.250 0.250 0.250 Re
0.750 0.750 0.750 Re
0.500 0.500 0.500 Ir
0.000 0.000 0.000 Ag
```

Summary:
Total magnetic moment in μB/cell: 0.00
ΔE_f in eV/atom: 0.8455
Excess energy over the best structure of this formula in the dataset in meV/atom: 424
Density of states at the Fermi level in states/eV per cell: 5.35
Density in Mg/m³: 18.69

---

5.
The following is a GGA-PBEsol calculation of a relaxed RbScOF2 crystal, from the Alexandria database.

```
RbScOF2
1.0
-3.162 0.112 -3.135
-3.293 -0.289 3.310
-0.120 4.667 0.288
Sc O Rb F
1 1 1 2
Direct
0.500 0.500 0.500 Sc
0.500 0.000 0.000 O
0.000 0.000 0.000 Rb
0.000 0.000 0.500 F
0.000 0.500 0.000 F
```

Summary:
Total magnetic moment in μB/cell: 0.79
Excess energy over the best structure of this formula in the dataset in meV/atom: 2358
Density of states at the Fermi level in states/eV per cell: 3.97
Formation energy (no corrections) in eV per atom: -0.92
Density in Mg/m³: 3.14

---

6.
The following is a GGA-PBEsol calculation of a relaxed Mn2IrPt crystal, from the Alexandria database.

```
Mn2IrPt
1.0
-0.873 3.870 -1.560
-3.952 1.572 0.288
-0.820 3.233 2.655
Ir Mn Pt
1 2 1
Direct
0.500 0.500 0.500 Ir
0.000 0.000 0.000 Mn
0.750 0.750 0.750 Mn
0.250 0.250 0.250 Pt
```

Summary:
Total magnetic moment in μB/cell: 6.06
ΔE_f in eV/atom: 0.2115
Excess energy over the best structure of this formula in the dataset in meV/atom: 338
Density of states at the Fermi level in states/eV per cell: 6.58
Density in Mg/m³: 15.07